Below is In2PW at its PBEsol-relaxed geometry, with properties calculated at the meta-GGA SCAN level.

Geometry as CIF:
```
data_In2PW
_symmetry_space_group_name_H-M 'P 1'
_symmetry_Int_Tables_number 1
_cell_length_a 3.401
_cell_length_b 4.496
_cell_length_c 4.662
_cell_angle_alpha 90.00
_cell_angle_beta 90.00
_cell_angle_gamma 90.00
loop_
_symmetry_equiv_pos_as_xyz
'x,y,z'
loop_
_atom_site_label
_atom_site_fract_x
_atom_site_fract_y
_atom_site_fract_z
In1 0.000 0.000 0.000
In2 0.500 0.500 0.000
P1 0.500 0.000 0.500
W1 0.000 0.500 0.500
```

Computed properties:
Space group ... Pmmm, No. 47
Mass density ... 10.35 Mg/m³
ΔE_f ... 0.87 eV per atom